(1)
This record from the Alexandria database describes a geometry-optimized ScAlIr structure. The functional is GGA-PBE.

CIF file:
```
data_ScAlIr
_chemical_formula_sum 'Sc4 Al4 Ir4'
_cell_length_a 6.2075
_cell_length_b 6.2075
_cell_length_c 6.2075
_cell_angle_alpha 90.00
_cell_angle_beta 90.00
_cell_angle_gamma 90.00
_symmetry_space_group_name_H-M 'F -4 3 m'
_symmetry_Int_Tables_number 216
_symmetry_space_group_name_Hall 'F -4 2 3'
loop_
_atom_site_label
_atom_site_type_symbol
_atom_site_fract_x
_atom_site_fract_y
_atom_site_fract_z
_atom_site_occupancy
Sc1 Sc 0.0000 0.0000 0.0000 1
Al1 Al 0.2500 0.2500 0.7500 1
Ir1 Ir 0.2500 0.2500 0.2500 1
```

- E_tot (eV per atom) = -6.306
- density of states at the Fermi level (states/eV per cell) = 10.72
- spin magnetization (Bohr magnetons per cell) = 0.00
- formation enthalpy at 0 K (eV per atom) = 0.01

(2)
This record from the Alexandria database describes a geometry-optimized Sc2AlIr2 structure. The functional is GGA-PBE.

CIF file:
```
data_Sc2AlIr2
_chemical_formula_sum 'Sc4 Al2 Ir4'
_cell_length_a 6.7183
_cell_length_b 6.7183
_cell_length_c 3.9789
_cell_angle_alpha 90.00
_cell_angle_beta 90.00
_cell_angle_gamma 90.00
_symmetry_space_group_name_H-M 'P 4/m b m'
_symmetry_Int_Tables_number 127
_symmetry_space_group_name_Hall '-P 4 2ab'
loop_
_atom_site_label
_atom_site_type_symbol
_atom_site_fract_x
_atom_site_fract_y
_atom_site_fract_z
_atom_site_occupancy
Sc1 Sc 0.1705 0.3295 0.0000 1
Al1 Al 0.0000 0.0000 0.5000 1
Ir1 Ir 0.1414 0.6414 0.5000 1
```

- E_tot (eV per atom) = -7.620
- density of states at the Fermi level (states/eV per cell) = 5.60
- spin magnetization (Bohr magnetons per cell) = 0.00
- formation enthalpy at 0 K (eV per atom) = -0.79

(3)
This record from the Alexandria database describes a geometry-optimized ScAl4Ir structure. The functional is GGA-PBE.

CIF file:
```
data_ScAl4Ir
_chemical_formula_sum 'Sc4 Al16 Ir4'
_cell_length_a 6.4427
_cell_length_b 6.4427
_cell_length_c 10.6417
_cell_angle_alpha 90.00
_cell_angle_beta 90.00
_cell_angle_gamma 90.00
_symmetry_space_group_name_H-M 'I 4/m c m'
_symmetry_Int_Tables_number 140
_symmetry_space_group_name_Hall '-I 4 2c'
loop_
_atom_site_label
_atom_site_type_symbol
_atom_site_fract_x
_atom_site_fract_y
_atom_site_fract_z
_atom_site_occupancy
Sc1 Sc 0.0000 0.0000 0.0000 1
Al1 Al 0.1507 0.3493 0.1546 1
Ir1 Ir 0.0000 0.0000 0.2500 1
```

- E_tot (eV per atom) = -5.487
- density of states at the Fermi level (states/eV per cell) = 14.13
- spin magnetization (Bohr magnetons per cell) = 0.00
- formation enthalpy at 0 K (eV per atom) = -0.46

(4)
This record from the Alexandria database describes a geometry-optimized Sc2Al8Ir structure. The functional is GGA-PBE.

CIF file:
```
data_Sc2Al8Ir
_chemical_formula_sum 'Sc2 Al8 Ir1'
_cell_length_a 4.1932
_cell_length_b 4.1932
_cell_length_c 10.8417
_cell_angle_alpha 90.00
_cell_angle_beta 90.00
_cell_angle_gamma 90.00
_symmetry_space_group_name_H-M 'P 4/m m m'
_symmetry_Int_Tables_number 123
_symmetry_space_group_name_Hall '-P 4 2'
loop_
_atom_site_label
_atom_site_type_symbol
_atom_site_fract_x
_atom_site_fract_y
_atom_site_fract_z
_atom_site_occupancy
Sc1 Sc 0.0000 0.0000 0.1877 1
Al1 Al 0.0000 0.5000 0.0000 1
Al2 Al 0.0000 0.5000 0.3732 1
Al3 Al 0.5000 0.5000 0.1897 1
Ir1 Ir 0.0000 0.0000 0.5000 1
```

- E_tot (eV per atom) = -5.238
- density of states at the Fermi level (states/eV per cell) = 4.24
- spin magnetization (Bohr magnetons per cell) = 0.00
- formation enthalpy at 0 K (eV per atom) = -0.56

(5)
This record from the Alexandria database describes a geometry-optimized ScAlIr2 structure. The functional is GGA-PBE.

CIF file:
```
data_ScAlIr2
_chemical_formula_sum 'Sc3 Al3 Ir6'
_cell_length_a 2.9803
_cell_length_b 2.9803
_cell_length_c 26.1737
_cell_angle_alpha 90.00
_cell_angle_beta 90.00
_cell_angle_gamma 120.00
_symmetry_space_group_name_H-M 'R 3 m'
_symmetry_Int_Tables_number 160
_symmetry_space_group_name_Hall 'R 3 -2"'
loop_
_atom_site_label
_atom_site_type_symbol
_atom_site_fract_x
_atom_site_fract_y
_atom_site_fract_z
_atom_site_occupancy
Sc1 Sc 0.0000 0.0000 0.0000 1
Al1 Al 0.0000 0.0000 0.7668 1
Ir1 Ir 0.0000 0.0000 0.2582 1
Ir2 Ir 0.0000 0.0000 0.5028 1
```

- E_tot (eV per atom) = -7.154
- density of states at the Fermi level (states/eV per cell) = 6.56
- spin magnetization (Bohr magnetons per cell) = 0.00
- formation enthalpy at 0 K (eV per atom) = -0.21

(6)
This record from the Alexandria database describes a geometry-optimized ScAl4Ir structure. The functional is GGA-PBE.

CIF file:
```
data_ScAl4Ir
_chemical_formula_sum 'Sc4 Al16 Ir4'
_cell_length_a 7.3015
_cell_length_b 7.3015
_cell_length_c 7.3015
_cell_angle_alpha 90.00
_cell_angle_beta 90.00
_cell_angle_gamma 90.00
_symmetry_space_group_name_H-M 'F -4 3 m'
_symmetry_Int_Tables_number 216
_symmetry_space_group_name_Hall 'F -4 2 3'
loop_
_atom_site_label
_atom_site_type_symbol
_atom_site_fract_x
_atom_site_fract_y
_atom_site_fract_z
_atom_site_occupancy
Sc1 Sc 0.0000 0.0000 0.0000 1
Al1 Al 0.1259 0.1259 0.3741 1
Ir1 Ir 0.2500 0.2500 0.7500 1
```

- E_tot (eV per atom) = -5.206
- density of states at the Fermi level (states/eV per cell) = 17.84
- spin magnetization (Bohr magnetons per cell) = 0.00
- formation enthalpy at 0 K (eV per atom) = -0.18

(7)
This record from the Alexandria database describes a geometry-optimized Sc4AlIr2 structure. The functional is GGA-PBE.

CIF file:
```
data_Sc4AlIr2
_chemical_formula_sum 'Sc12 Al3 Ir6'
_cell_length_a 4.6272
_cell_length_b 4.6272
_cell_length_c 21.9849
_cell_angle_alpha 90.00
_cell_angle_beta 90.00
_cell_angle_gamma 120.00
_symmetry_space_group_name_H-M 'R -3 m'
_symmetry_Int_Tables_number 166
_symmetry_space_group_name_Hall '-R 3 2"'
loop_
_atom_site_label
_atom_site_type_symbol
_atom_site_fract_x
_atom_site_fract_y
_atom_site_fract_z
_atom_site_occupancy
Sc1 Sc 0.0000 0.0000 0.1162 1
Sc2 Sc 0.0000 0.0000 0.3688 1
Al1 Al 0.0000 0.0000 0.5000 1
Ir1 Ir 0.0000 0.0000 0.2452 1
```

- E_tot (eV per atom) = -7.447
- density of states at the Fermi level (states/eV per cell) = 12.86
- spin magnetization (Bohr magnetons per cell) = 0.00
- formation enthalpy at 0 K (eV per atom) = -0.76

(8)
This record from the Alexandria database describes a geometry-optimized ScAlIr2 structure. The functional is GGA-PBE.

CIF file:
```
data_ScAlIr2
_chemical_formula_sum 'Sc1 Al1 Ir2'
_cell_length_a 2.8975
_cell_length_b 2.8975
_cell_length_c 7.7571
_cell_angle_alpha 90.00
_cell_angle_beta 90.00
_cell_angle_gamma 90.00
_symmetry_space_group_name_H-M 'P 4 m m'
_symmetry_Int_Tables_number 99
loop_
_symmetry_equiv_pos_as_xyz
'x,y,z'
'-y,x,z'
'-x,-y,z'
'y,-x,z'
'-x,y,z'
'y,x,z'
'x,-y,z'
'-y,-x,z'
loop_
_atom_site_label
_atom_site_type_symbol
_atom_site_fract_x
_atom_site_fract_y
_atom_site_fract_z
_atom_site_occupancy
Sc1 Sc 0.0000 0.0000 0.0000 1
Al1 Al 0.5000 0.5000 0.3102 1
Ir1 Ir 0.0000 0.0000 0.5111 1
Ir2 Ir 0.5000 0.5000 0.7593 1
```

- E_tot (eV per atom) = -7.402
- density of states at the Fermi level (states/eV per cell) = 3.98
- spin magnetization (Bohr magnetons per cell) = 0.00
- formation enthalpy at 0 K (eV per atom) = -0.45

(9)
This record from the Alexandria database describes a geometry-optimized Sc11Al9Ir4 structure. The functional is GGA-PBE.

CIF file:
```
data_Sc11Al9Ir4
_chemical_formula_sum 'Sc22 Al18 Ir8'
_cell_length_a 13.5255
_cell_length_b 20.3350
_cell_length_c 3.3009
_cell_angle_alpha 90.00
_cell_angle_beta 90.00
_cell_angle_gamma 90.00
_symmetry_space_group_name_H-M 'C m m m'
_symmetry_Int_Tables_number 65
_symmetry_space_group_name_Hall '-C 2 2'
loop_
_atom_site_label
_atom_site_type_symbol
_atom_site_fract_x
_atom_site_fract_y
_atom_site_fract_z
_atom_site_occupancy
Sc1 Sc 0.0000 0.0000 0.0000 1
Sc2 Sc 0.0000 0.1622 0.0000 1
Sc3 Sc 0.0000 0.3731 0.0000 1
Sc4 Sc 0.1941 0.5000 0.0000 1
Sc5 Sc 0.2354 0.1741 0.0000 1
Al1 Al 0.0000 0.5000 0.5000 1
Al2 Al 0.1028 0.2668 0.5000 1
Al3 Al 0.1453 0.0706 0.5000 1
Ir1 Ir 0.1577 0.3970 0.5000 1
```

- E_tot (eV per atom) = -6.459
- density of states at the Fermi level (states/eV per cell) = 27.20
- spin magnetization (Bohr magnetons per cell) = 0.00
- formation enthalpy at 0 K (eV per atom) = -0.68

(10)
This record from the Alexandria database describes a geometry-optimized ScAl3Ir structure. The functional is GGA-PBE.

CIF file:
```
data_ScAl3Ir
_chemical_formula_sum 'Sc2 Al6 Ir2'
_cell_length_a 6.6561
_cell_length_b 4.0340
_cell_length_c 6.8323
_cell_angle_alpha 90.00
_cell_angle_beta 104.71
_cell_angle_gamma 90.00
_symmetry_space_group_name_H-M 'P 1 21/m 1'
_symmetry_Int_Tables_number 11
loop_
_symmetry_equiv_pos_as_xyz
'x,y,z'
'-x,-y,-z'
'-x,y+1/2,-z'
'x,-y+1/2,z'
loop_
_atom_site_label
_atom_site_type_symbol
_atom_site_fract_x
_atom_site_fract_y
_atom_site_fract_z
_atom_site_occupancy
Sc1 Sc 0.2058 0.2500 0.1766 1
Al1 Al 0.0735 0.2500 0.6566 1
Al2 Al 0.3137 0.7500 0.9017 1
Al3 Al 0.3465 0.7500 0.5173 1
Ir1 Ir 0.4595 0.2500 0.7472 1
```

- energy relative to the lowest polymorph listed for this composition (eV per atom) = 0.000
- E_tot (eV per atom) = -5.934
- density of states at the Fermi level (states/eV per cell) = 4.46
- spin magnetization (Bohr magnetons per cell) = 0.00
- formation enthalpy at 0 K (eV per atom) = -0.65

(11)
This record from the Alexandria database describes a geometry-optimized Sc2Al6Ir structure. The functional is GGA-PBE.

CIF file:
```
data_Sc2Al6Ir
_chemical_formula_sum 'Sc2 Al6 Ir1'
_cell_length_a 5.5280
_cell_length_b 5.5280
_cell_length_c 6.0194
_cell_angle_alpha 90.00
_cell_angle_beta 90.00
_cell_angle_gamma 120.00
_symmetry_space_group_name_H-M 'P -3 m 1'
_symmetry_Int_Tables_number 164
_symmetry_space_group_name_Hall '-P 3 2"'
loop_
_atom_site_label
_atom_site_type_symbol
_atom_site_fract_x
_atom_site_fract_y
_atom_site_fract_z
_atom_site_occupancy
Sc1 Sc 0.3333 0.6667 0.3954 1
Al1 Al 0.1708 0.3417 0.8175 1
Ir1 Ir 0.0000 0.0000 0.5000 1
```

- E_tot (eV per atom) = -5.398
- density of states at the Fermi level (states/eV per cell) = 6.16
- spin magnetization (Bohr magnetons per cell) = 0.00
- formation enthalpy at 0 K (eV per atom) = -0.51

(12)
This record from the Alexandria database describes a geometry-optimized ScAl3Ir structure. The functional is GGA-PBE.

CIF file:
```
data_ScAl3Ir
_chemical_formula_sum 'Sc1 Al3 Ir1'
_cell_length_a 4.6964
_cell_length_b 4.6964
_cell_length_c 4.6964
_cell_angle_alpha 90.00
_cell_angle_beta 90.00
_cell_angle_gamma 90.00
_symmetry_space_group_name_H-M 'P m -3 m'
_symmetry_Int_Tables_number 221
_symmetry_space_group_name_Hall '-P 4 2 3'
loop_
_atom_site_label
_atom_site_type_symbol
_atom_site_fract_x
_atom_site_fract_y
_atom_site_fract_z
_atom_site_occupancy
Sc1 Sc 0.0000 0.0000 0.0000 1
Al1 Al 0.0000 0.5000 0.5000 1
Ir1 Ir 0.5000 0.5000 0.5000 1
```

- energy relative to the lowest polymorph listed for this composition (eV per atom) = 0.461
- E_tot (eV per atom) = -5.473
- density of states at the Fermi level (states/eV per cell) = 4.57
- spin magnetization (Bohr magnetons per cell) = 0.00
- formation enthalpy at 0 K (eV per atom) = -0.19

> Which formula does entry 9 have?

Sc11Al9Ir4

Please write out number 5 again, unchanged.
This record from the Alexandria database describes a geometry-optimized ScAlIr2 structure. The functional is GGA-PBE.

CIF file:
```
data_ScAlIr2
_chemical_formula_sum 'Sc3 Al3 Ir6'
_cell_length_a 2.9803
_cell_length_b 2.9803
_cell_length_c 26.1737
_cell_angle_alpha 90.00
_cell_angle_beta 90.00
_cell_angle_gamma 120.00
_symmetry_space_group_name_H-M 'R 3 m'
_symmetry_Int_Tables_number 160
_symmetry_space_group_name_Hall 'R 3 -2"'
loop_
_atom_site_label
_atom_site_type_symbol
_atom_site_fract_x
_atom_site_fract_y
_atom_site_fract_z
_atom_site_occupancy
Sc1 Sc 0.0000 0.0000 0.0000 1
Al1 Al 0.0000 0.0000 0.7668 1
Ir1 Ir 0.0000 0.0000 0.2582 1
Ir2 Ir 0.0000 0.0000 0.5028 1
```

- E_tot (eV per atom) = -7.154
- density of states at the Fermi level (states/eV per cell) = 6.56
- spin magnetization (Bohr magnetons per cell) = 0.00
- formation enthalpy at 0 K (eV per atom) = -0.21

> Among the records above, which one has the highest E_tot?

number 6